[1]
First-principles (PBE-GGA) data for a relaxed structure of La12AlPb3, as listed in Alexandria via LeMat-Bulk.

Computed properties:
M_tot = 0.0 μB/cell
E_tot = -4.9624 eV/atom
Fermi-level density of states = 23.82 states/eV/f.u.

Unit cell a=5.0548 b=5.0548 c=20.1959 alpha=90.00 beta=90.00 gamma=90.00
With the nearest neighbours (Å) after each atom.
Sites, in units of the cell vectors:
La: 0.0000 0.0000 0.0000  8 La 3.51, 4 Al 3.57
La: 0.0000 0.0000 0.2472  4 Pb 3.57, 8 La 3.59-3.60
La: 0.0000 0.0000 0.5000  4 Pb 3.57, 8 La 3.59
La: 0.0000 0.0000 0.7528  4 Pb 3.57, 8 La 3.59-3.60
La: 0.0000 0.5000 0.1206  8 La 3.51-3.59, 2 Al 3.51, 2 Pb 3.60
La: 0.0000 0.5000 0.3740  8 La 3.57-3.60, 4 Pb 3.59-3.60
La: 0.0000 0.5000 0.6260  8 La 3.57-3.60, 4 Pb 3.59-3.60
La: 0.0000 0.5000 0.8794  8 La 3.51-3.59, 2 Al 3.51, 2 Pb 3.60
La: 0.5000 0.0000 0.1206  8 La 3.51-3.59, 2 Al 3.51, 2 Pb 3.60
La: 0.5000 0.0000 0.3740  8 La 3.57-3.60, 4 Pb 3.59-3.60
La: 0.5000 0.0000 0.6260  8 La 3.57-3.60, 4 Pb 3.59-3.60
La: 0.5000 0.0000 0.8794  8 La 3.51-3.59, 2 Al 3.51, 2 Pb 3.60
Al: 0.5000 0.5000 0.0000  12 La 3.51-3.57
Pb: 0.5000 0.5000 0.2474  12 La 3.57-3.60
Pb: 0.5000 0.5000 0.5000  12 La 3.57-3.59
Pb: 0.5000 0.5000 0.7526  12 La 3.57-3.60

***

[2]
First-principles (PBE-GGA) data for a relaxed structure of LaAl2Pb2, as listed in Alexandria via LeMat-Bulk.

Computed properties:
M_tot = 0.0 μB/cell
Relative energy among the computed polymorphs = 0 meV per atom
E_tot = -4.0975 eV/atom
Fermi-level density of states = 2.47 states/eV/f.u.

Unit cell a=8.1105 b=8.1105 c=4.0025 alpha=90.00 beta=90.00 gamma=90.00
With the nearest neighbours (Å) after each atom.
Sites, in units of the cell vectors:
La: 0.0000 0.0000 0.0000  4 Al 3.25, 8 Pb 3.61
La: 0.5000 0.5000 0.0000  4 Al 3.25, 8 Pb 3.61
Al: 0.1167 0.3833 0.0000  1 Al 2.68
Al: 0.3833 0.8833 0.0000  1 Al 2.68
Al: 0.6167 0.1167 0.0000  1 Al 2.68
Al: 0.8833 0.6167 0.0000  1 Al 2.68
Pb: 0.1708 0.6708 0.5000  6 Al 3.10-3.15
Pb: 0.3292 0.1708 0.5000  6 Al 3.10-3.15
Pb: 0.6708 0.8292 0.5000  6 Al 3.10-3.15
Pb: 0.8292 0.3292 0.5000  6 Al 3.10-3.15

***

[3]
First-principles (PBE-GGA) data for a relaxed structure of La4AlPb, as listed in Alexandria via LeMat-Bulk.

Computed properties:
M_tot = 0.0 μB/cell
Relative energy among the computed polymorphs = 357 meV per atom
E_tot = -4.3861 eV/atom
Fermi-level density of states = 6.95 states/eV/f.u.

Unit cell a=6.4772 b=6.4772 c=6.4772 alpha=60.00 beta=60.00 gamma=60.00
With the nearest neighbours (Å) after each atom.
Sites, in units of the cell vectors:
La: 0.1251 0.1251 0.1251  6 La 3.24
La: 0.1251 0.1251 0.6247  6 La 3.24
La: 0.1251 0.6247 0.1251  6 La 3.24
La: 0.6247 0.1251 0.1251  6 La 3.24
Al: 0.5000 0.5000 0.5000  12 La 3.80, 4 Pb 3.97
Pb: 0.7500 0.7500 0.7500  12 La 3.80, 4 Al 3.97

***

[4]
First-principles (PBE-GGA) data for a relaxed structure of LaAlPb2, as listed in Alexandria via LeMat-Bulk.

Computed properties:
M_tot = 0.0 μB/cell
E_tot = -4.3148 eV/atom
Fermi-level density of states = 1.35 states/eV/f.u.

Unit cell a=6.0595 b=6.0595 c=6.0595 alpha=134.33 beta=134.33 gamma=66.57
With the nearest neighbours (Å) after each atom.
Sites, in units of the cell vectors:
La: 0.0000 0.0000 0.0000  4 Al 3.33, 8 Pb 3.46
Al: 0.5000 0.5000 0.0000  4 La 3.33, 8 Pb 3.46
Pb: 0.2500 0.7500 0.5000  4 Pb 3.33, 4 La 3.46, 4 Al 3.46
Pb: 0.7500 0.2500 0.5000  4 Pb 3.33, 4 La 3.46, 4 Al 3.46

***

[5]
First-principles (PBE-GGA) data for a relaxed structure of La2AlPb2, as listed in Alexandria via LeMat-Bulk.

Computed properties:
M_tot = 0.0 μB/cell
Relative energy among the computed polymorphs = 0 meV per atom
E_tot = -4.6306 eV/atom
Fermi-level density of states = 3.94 states/eV/f.u.

Unit cell a=7.9027 b=7.9027 c=4.8904 alpha=90.00 beta=90.00 gamma=90.00
With the nearest neighbours (Å) after each atom.
Sites, in units of the cell vectors:
La: 0.1725 0.3275 0.0000  6 Pb 3.23-3.48
La: 0.3275 0.8275 0.0000  6 Pb 3.23-3.48
La: 0.6725 0.1725 0.0000  6 Pb 3.23-3.48
La: 0.8275 0.6725 0.0000  6 Pb 3.23-3.48
Al: 0.0000 0.0000 0.5000  4 Pb 3.06
Al: 0.5000 0.5000 0.5000  4 Pb 3.06
Pb: 0.1384 0.6384 0.5000  2 Al 3.06, 1 Pb 3.09, 2 La 3.23
Pb: 0.3616 0.1384 0.5000  2 Al 3.06, 1 Pb 3.09, 2 La 3.23
Pb: 0.6384 0.8616 0.5000  2 Al 3.06, 1 Pb 3.09, 2 La 3.23
Pb: 0.8616 0.3616 0.5000  2 Al 3.06, 1 Pb 3.09, 2 La 3.23

***

[6]
First-principles (PBE-GGA) data for a relaxed structure of LaAlPb2, as listed in Alexandria via LeMat-Bulk.

Computed properties:
M_tot = 0.0 μB/cell
E_tot = -4.1173 eV/atom
Fermi-level density of states = 3.47 states/eV/f.u.

Unit cell a=5.5108 b=5.5108 c=5.5108 alpha=60.00 beta=60.00 gamma=60.00
With the nearest neighbours (Å) after each atom.
Sites, in units of the cell vectors:
La: 0.0000 0.0000 0.0000  4 Pb 3.37, 4 Al 3.37
Al: 0.2500 0.2500 0.2500  4 Pb 3.37, 4 La 3.37
Pb: 0.5000 0.5000 0.5000  4 Pb 3.37, 4 Al 3.37
Pb: 0.7500 0.7500 0.7500  4 Pb 3.37, 4 La 3.37